# 1
The following is a DFT calculation (GGA-PBE) of a geometry-optimized SiTeH structure.

Results
- E_tot: -0.14218 hartree per atom

Lattice parameters (Å, degrees): 4.073 5.374 7.420 80.13 75.47 71.82
Fractional positions:
1 Si 0.000 0.000 0.000
2 Si 0.393 0.248 0.008
3 Te 0.015 0.587 0.233
4 Te 0.154 0.921 0.654
5 H 0.413 0.414 0.823
6 H 0.824 0.778 0.683

# 2
The following is a DFT calculation (GGA-PBE) of a geometry-optimized TiPd7 structure.

Results
- Formation energy from the elements: -2.9 eV per formula unit
- E_tot: -0.21670 hartree per atom

Lattice parameters (Å, degrees): 8.359 8.359 8.359 152.74 152.74 38.93
Fractional positions:
1 Ti 0.000 0.000 0.000
2 Pd 0.121 0.621 0.500
3 Pd 0.251 0.251 0.000
4 Pd 0.379 0.879 0.500
5 Pd 0.500 0.500 0.000
6 Pd 0.621 0.121 0.500
7 Pd 0.749 0.749 0.000
8 Pd 0.879 0.379 0.500

# 3
The following is a DFT calculation (GGA-PBE) of a geometry-optimized YSc3 structure.

Results
- ΔE to the lowest computed polymorph: 0.17 eV per formula unit
- Formation energy from the elements: 0.2 eV per formula unit
- E_tot: -0.23166 hartree per atom

Lattice parameters (Å, degrees): 4.724 4.724 4.724 90.00 90.00 90.00
Fractional positions:
1 Y 0.000 0.000 0.000
2 Sc 0.000 0.500 0.500
3 Sc 0.500 0.000 0.500
4 Sc 0.500 0.500 0.000

# 4
The following is a DFT calculation (GGA-PBE) of a geometry-optimized Er6TlTe3 structure.

Results
- E_tot: -0.17147 hartree per atom
- Formation energy without anion corrections: -7.49 eV per formula unit

Lattice parameters (Å, degrees): 12.030 3.985 12.709 90.00 103.63 90.00
Fractional positions:
1 Er 0.014 0.250 0.349
2 Er 0.080 0.250 0.882
3 Er 0.248 0.750 0.298
4 Er 0.285 0.750 0.756
5 Er 0.379 0.250 0.532
6 Er 0.445 0.750 0.119
7 Er 0.555 0.250 0.881
8 Er 0.621 0.750 0.468
9 Er 0.715 0.250 0.244
10 Er 0.752 0.250 0.702
11 Er 0.920 0.750 0.118
12 Er 0.986 0.750 0.651
13 Tl 0.461 0.250 0.311
14 Tl 0.539 0.750 0.689
15 Te 0.114 0.250 0.135
16 Te 0.169 0.750 0.512
17 Te 0.336 0.250 0.947
18 Te 0.664 0.750 0.053
19 Te 0.831 0.250 0.488
20 Te 0.886 0.750 0.865

# 5
The following is a DFT calculation (GGA-PBE) of a geometry-optimized Ca3Al3Zn structure.

Results
- Formation energy from the elements: -1.7 eV per formula unit
- E_tot: -0.10618 hartree per atom

Lattice parameters (Å, degrees): 6.014 6.014 15.142 108.64 108.64 44.05
Fractional positions:
1 Ca 0.035 0.035 0.385
2 Ca 0.107 0.107 0.921
3 Ca 0.251 0.251 0.231
4 Ca 0.749 0.749 0.769
5 Ca 0.893 0.893 0.079
6 Ca 0.965 0.965 0.615
7 Al 0.366 0.366 0.460
8 Al 0.399 0.399 0.922
9 Al 0.454 0.454 0.764
10 Al 0.546 0.546 0.236
11 Al 0.601 0.601 0.078
12 Al 0.634 0.634 0.540
13 Zn 0.254 0.254 0.603
14 Zn 0.746 0.746 0.397

# 6
The following is a DFT calculation (GGA-PBE) of a geometry-optimized Ca3SI structure.

Results
- ΔE to the lowest computed polymorph: 0.00 eV per formula unit
- E_tot: -0.11658 hartree per atom
- Formation energy without anion corrections: -4.18 eV per formula unit

Lattice parameters (Å, degrees): 5.519 5.519 5.519 90.00 90.00 90.00
Fractional positions:
1 Ca 0.000 0.000 0.500
2 Ca 0.000 0.500 0.000
3 Ca 0.500 0.000 0.000
4 S 0.000 0.000 0.000
5 I 0.500 0.500 0.500